Record 1
Below is a relaxed PmY3Te6 crystal, with properties calculated at the PBE level.

abc: 4.3839 12.5149 12.8578
angles: 109.35 90.00 90.00
Fractional coordinates of all 20 atoms:
Pm 0.7500 0.0460 0.6963
Pm 0.2500 0.9540 0.3037
Y 0.7500 0.4335 0.8341
Y 0.2500 0.5665 0.1659
Y 0.7500 0.6832 0.5017
Y 0.2500 0.3168 0.4983
Y 0.7500 0.1556 0.0813
Y 0.2500 0.8444 0.9187
Te 0.7500 0.4832 0.6174
Te 0.2500 0.5168 0.3826
Te 0.7500 0.9155 0.0985
Te 0.2500 0.0845 0.9015
Te 0.7500 0.3923 0.0606
Te 0.2500 0.6077 0.9394
Te 0.7500 0.7449 0.2785
Te 0.2500 0.2551 0.7215
Te 0.7500 0.1134 0.4677
Te 0.2500 0.8866 0.5323
Te 0.7500 0.8063 0.7497
Te 0.2500 0.1937 0.2503

Results
Symmetry = P2_1/m
Formation energy (no corrections) = -1.42 eV per atom

---

Record 2
Below is a relaxed ScTaCl crystal, with properties calculated at the PBE level.

abc: 4.6792 4.6792 3.0301
angles: 90.00 90.00 120.00
Last column: magnetic moment on the atom in μB.
Fractional coordinates of all 3 atoms:
Cl 0.0000 0.0000 0.8330  0.00
Sc 0.3333 0.6667 0.3337  0.16
Ta 0.6667 0.3333 0.8332  0.25

Results
Symmetry = P-6m2
N(E_F) = 4.5 states/eV per cell
E above lowest polymorph = 174 kJ/mol of formula units
Formation energy (no corrections) = 0.25 eV per atom

---

Record 3
Below is a relaxed PaTi2Nb crystal, with properties calculated at the PBE level.

abc: 3.0122 3.0122 10.2016
angles: 81.51 81.51 60.00
Fractional coordinates of all 4 atoms:
Nb 0.0000 0.0000 0.0000
Pa 0.5000 0.5000 0.5000
Ti 0.2563 0.2563 0.2311
Ti 0.7437 0.7437 0.7689

Results
Formation energy = 0.207 eV/atom
Symmetry = R-3m
N(E_F) = 8.8 states/eV per cell
E above lowest polymorph = 78 kJ/mol of formula units

---

Record 4
Below is a relaxed PrSmNi crystal, with properties calculated at the PBE level.

abc: 3.7745 7.2751 7.0809
angles: 119.22 89.96 105.03
Fractional coordinates of all 6 atoms:
Pr 0.1302 0.5514 0.0416
Pr 0.6856 0.6632 0.5974
Sm 0.4077 0.1073 0.5603
Sm 0.4080 0.1073 0.0768
Ni 0.0161 0.3239 0.4266
Ni 0.7996 0.8907 0.2095

Results
Formation energy = -0.207 eV/atom
Symmetry = Cm
N(E_F) = 6.5 states/eV per cell
E above lowest polymorph = 0 kJ/mol of formula units